Entry 1:
Entry from the Alexandria database: an optimized crystal structure of ZnNi2Pt5 (PBE-GGA).

Unit cell a=3.879 b=5.452 c=10.873 alpha=90.00 beta=90.00 gamma=90.00
Fractional coordinates of all 16 atoms:
Pt1 0.500 0.766 0.380
Ni1 0.500 0.267 0.371
Pt2 0.000 0.481 0.756
Pt3 0.500 0.234 0.620
Pt4 0.500 0.266 0.120
Pt5 0.000 0.981 0.744
Pt6 0.500 0.734 0.880
Zn1 0.000 0.500 0.000
Pt7 0.000 0.019 0.256
Ni2 0.500 0.233 0.871
Pt8 0.000 0.000 0.000
Ni3 0.500 0.733 0.629
Ni4 0.500 0.767 0.129
Zn2 0.000 0.000 0.500
Pt9 0.000 0.500 0.500
Pt10 0.000 0.519 0.244

For the energy relative to the elements, the calculation gives -1.58 eV per formula unit. As for the symmetry: Pbam (55). The value obtained for the total energy is -5.578 eV/atom.


Entry 2:
Entry from the Alexandria database: an optimized crystal structure of SrLi6Sn2 (PBE-GGA).

Unit cell a=4.801 b=4.801 c=9.024 alpha=90.00 beta=90.00 gamma=90.00
Fractional coordinates of all 9 atoms:
Li1 0.000 0.500 0.311
Li2 0.000 0.500 0.689
Sn1 0.500 0.500 0.161
Li3 0.500 0.000 0.311
Li4 0.500 0.500 0.500
Li5 0.000 0.000 0.500
Sr1 0.000 0.000 0.000
Li6 0.500 0.000 0.689
Sn2 0.500 0.500 0.839

For the energy relative to the elements, the calculation gives -2.49 eV per formula unit. As for the symmetry: P4/mmm (123). The value obtained for the total energy is -2.629 eV/atom.